Entry 1:
# IrPb2Cl PBE relaxed
# Crystal system   cubic
# Energy above the lowest structure with this stoichiometry   317 meV per atom
# Uncorrected formation energy   20.6 kJ per mole of atoms
data_IrPb2Cl
_cell_length_a 5.0633
_cell_length_b 5.0633
_cell_length_c 5.0633
_cell_angle_alpha 60.00
_cell_angle_beta 60.00
_cell_angle_gamma 60.00
_symmetry_space_group_name_H-M 'P 1'
_symmetry_Int_Tables_number 1
_symmetry_space_group_name_Hall 'P 1'
loop_
_atom_site_label
_atom_site_fract_x
_atom_site_fract_y
_atom_site_fract_z
_atom_site_occupancy
Ir1 0.0000 0.0000 0.0000 1
Pb1 0.2500 0.2500 0.2500 1
Pb2 0.7500 0.7500 0.7500 1
Cl1 0.5000 0.5000 0.5000 1

Entry 2:
# IrPb2Cl PBE relaxed
# Crystal system   orthorhombic
# Energy above the lowest structure with this stoichiometry   71 meV per atom
# Uncorrected formation energy   -3.2 kJ per mole of atoms
data_IrPb2Cl
_cell_length_a 3.4023
_cell_length_b 4.8207
_cell_length_c 5.6956
_cell_angle_alpha 90.00
_cell_angle_beta 90.00
_cell_angle_gamma 90.00
_symmetry_space_group_name_H-M 'P 1'
_symmetry_Int_Tables_number 1
_symmetry_space_group_name_Hall 'P 1'
loop_
_atom_site_label
_atom_site_fract_x
_atom_site_fract_y
_atom_site_fract_z
_atom_site_occupancy
Ir1 0.0000 0.0000 0.0000 1
Pb1 0.0000 0.0000 0.5000 1
Pb2 0.5000 0.5000 0.0000 1
Cl1 0.5000 0.5000 0.5000 1

Entry 3:
# IrPb2Cl PBE relaxed
# Crystal system   monoclinic
# Energy above the lowest structure with this stoichiometry   69 meV per atom
# Uncorrected formation energy   -3.4 kJ per mole of atoms
data_IrPb2Cl
_cell_length_a 3.3618
_cell_length_b 5.5088
_cell_length_c 5.2930
_cell_angle_alpha 90.00
_cell_angle_beta 101.46
_cell_angle_gamma 90.00
_symmetry_space_group_name_H-M 'P 1'
_symmetry_Int_Tables_number 1
_symmetry_space_group_name_Hall 'P 1'
loop_
_atom_site_label
_atom_site_fract_x
_atom_site_fract_y
_atom_site_fract_z
_atom_site_occupancy
Ir1 0.0000 0.0000 0.0000 1
Pb1 0.3418 0.0000 0.5576 1
Pb2 0.9881 0.5000 0.0117 1
Cl1 0.5936 0.5000 0.4886 1

Entry 4:
# IrPdPb2Cl PBE relaxed
# Crystal system   tetragonal
# Uncorrected formation energy   27.3 kJ per mole of atoms
data_IrPdPb2Cl
_cell_length_a 5.3220
_cell_length_b 5.3220
_cell_length_c 4.9501
_cell_angle_alpha 90.00
_cell_angle_beta 90.00
_cell_angle_gamma 90.00
_symmetry_space_group_name_H-M 'P 1'
_symmetry_Int_Tables_number 1
_symmetry_space_group_name_Hall 'P 1'
loop_
_atom_site_label
_atom_site_fract_x
_atom_site_fract_y
_atom_site_fract_z
_atom_site_occupancy
Ir1 0.0000 0.0000 0.0000 1
Pd1 0.0000 0.0000 0.5000 1
Pb1 0.0000 0.5000 0.0000 1
Pb2 0.5000 0.0000 0.0000 1
Cl1 0.5000 0.5000 0.5000 1

Question: Number 2 is which compound?
Answer: IrPb2Cl

Question: What is the formula in the third record?
Answer: IrPb2Cl

Question: The highest uncorrected formation energy belongs to which entry?
Answer: IrPdPb2Cl